Compound: Cr2Tc
Source: Alexandria via LeMat-Bulk
Functional: meta-GGA SCAN
Structure: single point on PBEsol structure Values from VASP.

Quantum ESPRESSO input file:
```
&SYSTEM
  ibrav = 0, nat = 3, ntyp = 2
/
ATOMIC_SPECIES
Tc 98.00 Tc.upf
Cr 52.00 Cr.upf
CELL_PARAMETERS angstrom
-0.010 -1.822 2.231
2.403 -1.236 -0.999
1.224 4.360 1.705
ATOMIC_POSITIONS crystal
Tc 0.500 0.500 0.000
Cr 0.175 0.175 0.350
Cr 0.825 0.825 0.650
```

Values from the calculation:
Energy relative to the elements, eV per atom: -0.004
Raw total energy, eV/atom: -23.947
Space group: I4/mmm
Polymorph energy (0 for the lowest one), eV per formula unit: 0.00

***

Compound: LaInBr2
Source: Alexandria via LeMat-Bulk
Functional: meta-GGA SCAN
Structure: single point on PBEsol structure Values from VASP.

Quantum ESPRESSO input file:
```
&SYSTEM
  ibrav = 0, nat = 4, ntyp = 3
/
ATOMIC_SPECIES
Br 79.90 Br.upf
In 114.82 In.upf
La 138.91 La.upf
CELL_PARAMETERS angstrom
-0.612 -0.659 3.581
-3.226 -1.429 1.090
2.477 -9.990 0.487
ATOMIC_POSITIONS crystal
Br 0.737 0.737 0.788
In 0.500 0.500 0.500
Br 0.263 0.263 0.212
La 0.000 0.000 0.000
```

Values from the calculation:
Raw formation energy, meV per atom: -1217.9
Raw total energy, eV/atom: -30.070
Space group: R-3m
Polymorph energy (0 for the lowest one), eV per formula unit: 0.11

***

Compound: InFeTc2Ge
Source: Alexandria via LeMat-Bulk
Functional: meta-GGA SCAN
Structure: single point on PBEsol structure Values from VASP.

Quantum ESPRESSO input file:
```
&SYSTEM
  ibrav = 0, nat = 5, ntyp = 4
/
ATOMIC_SPECIES
Tc 98.00 Tc.upf
In 114.82 In.upf
Ge 72.64 Ge.upf
Fe 55.84 Fe.upf
CELL_PARAMETERS angstrom
4.585 0.000 0.000
0.000 4.865 0.000
0.000 0.000 4.865
ATOMIC_POSITIONS crystal
Tc 0.000 0.500 0.000
In 0.000 0.000 0.000
Ge 0.500 0.500 0.500
Tc 0.000 0.000 0.500
Fe 0.500 0.000 0.000
```

Values from the calculation:
Energy relative to the elements, eV per atom: 2.024
Raw total energy, eV/atom: -26.120
Space group: P4/mmm